Entry from Alexandria: a relaxed Sc4TcAg crystal (PBE).

Properties
Calculated total energy ... -6.414 eV/atom
Crystal system ... trigonal
E above lowest polymorph ... 0.961 eV per formula unit

```
Sc4TcAg
1.0
4.820 0.000 0.000
2.410 4.168 0.246
2.410 0.982 6.999
Sc Tc Ag
4 1 1
Direct
0.637 0.637 0.089
0.121 0.121 0.637
0.363 0.363 0.911
0.879 0.879 0.363
0.000 0.000 0.000
0.500 0.500 0.500
```